Sm6Dy2Th: relaxed, PBE.

Properties
**Mass density**: 8018 kg/m³
**Total magnetic moment**: 0.00 μB/f.u.
**Electronic total energy**: -4.93 eV/atom
**N(E_F)**: 15.4 states/eV/f.u.
**Energy relative to the elements**: 60.8 meV per atom

Structure (CIF):
```
data_Sm6Dy2Th
_cell_length_a 3.6081
_cell_length_b 3.6081
_cell_length_c 26.8041
_cell_angle_alpha 90.00
_cell_angle_beta 90.00
_cell_angle_gamma 120.00
_symmetry_space_group_name_H-M 'P -6 m 2'
_symmetry_Int_Tables_number 187
_symmetry_space_group_name_Hall 'P -6 2'
loop_
_atom_site_label
_atom_site_type_symbol
_atom_site_fract_x
_atom_site_fract_y
_atom_site_fract_z
Sm1 Sm 0.0000 0.0000 0.0658
Sm2 Sm 0.0000 0.0000 0.2796
Sm3 Sm 0.3333 0.6667 0.3906
Dy1 Dy 0.3333 0.6667 0.1707
Th1 Th 0.0000 0.0000 0.5000
```